Computed, not measured: an optimized crystal structure of Ce2ScPb9 at the PBE level of DFT.

Computed properties:
Calculated total energy = -54.86 eV for the cell shown
Theoretical density = 10.45 Mg/m³
Calculated volume = 29.01 Å³/atom
DFT formation energy = -273 meV per atom

abc: 4.9031 4.9031 14.4816
angles: 90.00 90.00 90.00
Last column: nearest neighbours and their distance in Å.
Element x y z (fractional)
Pb1 0.5000 0.5000 0.6700  4 Ce 3.47, 8 Pb 3.47-3.48
Pb2 0.5000 0.0000 0.5000  4 Ce 3.44, 8 Pb 3.47
Pb3 0.0000 0.5000 0.8407  8 Pb 3.37-3.48, 2 Sc 3.37, 2 Ce 3.52
Pb4 0.5000 0.5000 0.3300  4 Ce 3.47, 8 Pb 3.47-3.48
Pb5 0.0000 0.5000 0.1593  8 Pb 3.37-3.48, 2 Sc 3.37, 2 Ce 3.52
Pb6 0.5000 0.5000 0.0000  8 Pb 3.37, 4 Sc 3.47
Pb7 0.5000 0.0000 0.8407  2 Sc 3.37, 8 Pb 3.37-3.48, 2 Ce 3.52
Pb8 0.0000 0.5000 0.5000  4 Ce 3.44, 8 Pb 3.47
Pb9 0.5000 0.0000 0.1593  2 Sc 3.37, 8 Pb 3.37-3.48, 2 Ce 3.52
Sc1 0.0000 0.0000 0.0000  12 Pb 3.37-3.47
Ce1 0.0000 0.0000 0.3337  12 Pb 3.44-3.52
Ce2 0.0000 0.0000 0.6663  12 Pb 3.44-3.52

Computed, not measured: an optimized crystal structure of ErNpCo10 at the PBE level of DFT.

Computed properties:
Calculated total energy = -89.52 eV for the cell shown
Theoretical density = 10.17 Mg/m³
Calculated volume = 13.52 Å³/atom
DFT formation energy = -80 meV per atom

abc: 3.9804 4.8782 8.3564
angles: 90.00 90.00 90.00
Last column: nearest neighbours and their distance in Å.
Element x y z (fractional)
Co1 0.5000 0.5000 0.0000  8 Co 2.42-2.51
Co2 0.5000 0.7530 0.7509  8 Co 2.41-2.47
Co3 0.0000 0.5000 0.8166  6 Co 2.41-2.51, 1 Np 2.65
Co4 0.5000 0.2470 0.7509  8 Co 2.41-2.47
Co5 0.0000 0.5000 0.1834  6 Co 2.41-2.51, 1 Np 2.65
Co6 0.0000 0.0000 0.3435  7 Co 2.38-2.62
Co7 0.5000 0.2470 0.2491  8 Co 2.41-2.47
Co8 0.5000 0.0000 0.5000  8 Co 2.38-2.42
Co9 0.0000 0.0000 0.6565  7 Co 2.38-2.62
Co10 0.5000 0.7530 0.2491  8 Co 2.41-2.47
Er1 0.0000 0.0000 0.0000  18 Co 2.87-3.15
Np1 0.0000 0.5000 0.5000  6 Co 2.65-2.77

Computed, not measured: an optimized crystal structure of FeB2 at the PBE level of DFT.

Computed properties:
Calculated total energy = -90.85 eV for the cell shown
Theoretical density = 5.96 Mg/m³
Calculated volume = 7.20 Å³/atom
DFT formation energy = -299 meV per atom

abc: 3.7364 4.8029 4.8131
angles: 90.00 90.00 90.00
Last column: nearest neighbours and their distance in Å.
Element x y z (fractional)
Fe1 0.1238 0.7500 0.9800  10 B 2.03-2.22
Fe2 0.3762 0.7500 0.4800  10 B 2.03-2.22
Fe3 0.8762 0.2500 0.0200  10 B 2.03-2.22
Fe4 0.6238 0.2500 0.5200  10 B 2.03-2.22
B1 0.8930 0.9307 0.3387  2 B 1.74-1.87
B2 0.3930 0.0693 0.1613  2 B 1.74-1.87
B3 0.6070 0.5693 0.8387  2 B 1.74-1.87
B4 0.3930 0.4307 0.1613  2 B 1.74-1.87
B5 0.1070 0.0693 0.6613  2 B 1.74-1.87
B6 0.8930 0.5693 0.3387  2 B 1.74-1.87
B7 0.1070 0.4307 0.6613  2 B 1.74-1.87
B8 0.6070 0.9307 0.8387  2 B 1.74-1.87

Computed, not measured: an optimized crystal structure of NdYS3 at the PBE level of DFT.

Computed properties:
Calculated total energy = -67.78 eV for the cell shown
Theoretical density = 4.45 Mg/m³
ΔE_f (raw) = -2.06 eV/atom
Calculated volume = 24.58 Å³/atom

abc: 3.9718 7.8833 7.8741
angles: 94.47 90.00 90.00
Last column: nearest neighbours and their distance in Å.
Element x y z (fractional)
S1 0.7500 0.0985 0.3206  3 Y 2.77-2.80, 2 Nd 3.09
S2 0.2500 0.6811 0.0228  1 Y 2.63, 2 Nd 2.82
S3 0.2500 0.3747 0.6132  2 Y 2.75, 3 Nd 2.98-3.02
S4 0.2500 0.9015 0.6794  3 Y 2.77-2.80, 2 Nd 3.09
S5 0.7500 0.6253 0.3868  2 Y 2.75, 3 Nd 2.98-3.02
S6 0.7500 0.3189 0.9772  1 Y 2.63, 2 Nd 2.82
Nd1 0.7500 0.6218 0.7702  8 S 2.82-3.09
Nd2 0.2500 0.3782 0.2298  8 S 2.82-3.09
Y1 0.2500 0.8531 0.3228  6 S 2.63-2.80
Y2 0.7500 0.1469 0.6772  6 S 2.63-2.80